Below is crystalline DyTmFe2B2C2 at its relaxed geometry, with properties calculated at the PBE level.

Results
* uncorrected energy: -60.58 eV/cell

a = 3.5028 Å, b = 3.5028 Å, c = 7.8807 Å
α = 90.00°, β = 90.00°, γ = 90.00°
Space group P4mm (No. 99)
Asymmetric unit:
1 Dy 0.0000 0.0000 0.0000
2 Tm 0.5000 0.5000 0.6779
3 Fe 0.0000 0.5000 0.3390
4 B 0.0000 0.0000 0.5047
5 B 0.5000 0.5000 0.1716
6 C 0.0000 0.0000 0.6933
7 C 0.5000 0.5000 0.9824

---

Below is crystalline LaLuOs at its relaxed geometry, with properties calculated at the PBE level.

Results
* uncorrected energy: -75.81 eV/cell
* calculated formation energy: 0.573 eV/atom

a = 6.7144 Å, b = 6.7144 Å, c = 6.7144 Å
α = 90.00°, β = 90.00°, γ = 90.00°
Space group F-43m (No. 216)
Asymmetric unit:
1 La 0.0000 0.0000 0.0000
2 Lu 0.2500 0.2500 0.2500
3 Os 0.0000 0.0000 0.5000